(w)
{"formula": "AlCdP2", "functional": "meta-GGA SCAN", "state": "single point on PBEsol structure", "lattice_angstrom": [[-1.559, 3.201, 0.759], [-2.991, -1.729, 1.148], [4.293, -0.931, 4.012]], "species": ["P", "P", "Al", "Cd"], "fractional_positions": [[0.000, 0.000, 0.000], [0.750, 0.250, 0.500], [0.500, 0.500, 0.000], [0.250, 0.750, 0.500]], "space_group": "I-4m2"}


(x)
{"formula": "AlCdP2", "functional": "meta-GGA SCAN", "state": "single point on PBEsol structure", "lattice_angstrom": [[3.129, -0.042, 0.000], [-0.923, 2.990, 0.000], [0.000, 0.000, 7.411]], "species": ["P", "P", "Al", "Cd"], "fractional_positions": [[0.000, 0.000, 0.279], [0.000, 0.000, 0.721], [0.500, 0.500, 0.500], [0.500, 0.500, 0.000]], "space_group": "Cmmm"}


(y)
{"formula": "AlCdP2", "functional": "meta-GGA SCAN", "state": "single point on PBEsol structure", "lattice_angstrom": [[-4.408, 3.608, -0.513], [-0.893, -1.850, -5.338], [-0.731, -4.740, 4.829]], "species": ["P", "P", "P", "P", "Al", "Al", "Cd", "Cd"], "fractional_positions": [[0.400, 0.875, 0.250], [0.850, 0.375, 0.250], [0.125, 0.150, 0.750], [0.625, 0.600, 0.750], [0.750, 0.250, 0.500], [0.500, 0.500, 0.000], [0.250, 0.750, 0.500], [0.000, 0.000, 0.000]], "space_group": "I-42d"}


(z)
{"formula": "AlCdP2", "functional": "meta-GGA SCAN", "state": "single point on PBEsol structure", "lattice_angstrom": [[-2.935, -1.862, -0.541], [2.620, -1.565, 2.610], [-2.862, 3.229, 4.418]], "species": ["P", "P", "Al", "Cd"], "fractional_positions": [[0.970, 0.939, 0.995], [0.777, 0.554, 0.560], [0.483, 0.965, 0.725], [0.271, 0.541, 0.220]], "space_group": "Cm"}


Which structure wins on stability? (y) wins.


(w)
{"formula": "Al2CdPb", "functional": "meta-GGA SCAN", "state": "single point on PBEsol structure", "lattice_angstrom": [[-0.395, -1.820, -2.566], [4.640, 0.599, 0.820], [-0.952, -5.007, 3.699]], "species": ["Pb", "Al", "Al", "Cd"], "fractional_positions": [[0.748, 0.497, 0.238], [0.990, 0.981, 0.952], [0.252, 0.504, 0.766], [0.509, 0.018, 0.543]], "space_group": "Cm"}


(x)
{"formula": "Al2CdPb", "functional": "meta-GGA SCAN", "state": "single point on PBEsol structure", "lattice_angstrom": [[-0.693, -3.134, -0.071], [2.522, -0.512, -1.920], [4.827, -1.218, 6.663]], "species": ["Pb", "Al", "Al", "Cd"], "fractional_positions": [[0.500, 0.500, 0.236], [0.000, 0.000, 0.962], [0.500, 0.500, 0.766], [0.000, 0.000, 0.535]], "space_group": "P4mm"}


(y)
{"formula": "Al2CdPb", "functional": "meta-GGA SCAN", "state": "single point on PBEsol structure", "lattice_angstrom": [[3.198, 0.000, 0.000], [1.599, 2.770, 0.000], [1.599, 0.923, 9.866]], "species": ["Pb", "Al", "Al", "Cd"], "fractional_positions": [[0.000, 0.000, 0.000], [0.244, 0.244, 0.268], [0.756, 0.756, 0.732], [0.500, 0.500, 0.500]], "space_group": "R-3m"}


Which structure wins on stability? (x) wins.


(w)
{"formula": "AlCdSb2", "functional": "meta-GGA SCAN", "state": "single point on PBEsol structure", "lattice_angstrom": [[-4.316, -0.472, 2.335], [-1.418, -2.015, -3.027], [1.538, -4.107, 2.014]], "species": ["Sb", "Sb", "Al", "Cd"], "fractional_positions": [[0.000, 0.000, 0.000], [0.500, 0.000, 0.500], [0.500, 0.500, 0.000], [0.000, 0.500, 0.500]], "space_group": "Pmmm"}


(x)
{"formula": "AlCdSb2", "functional": "meta-GGA SCAN", "state": "single point on PBEsol structure", "lattice_angstrom": [[-2.971, 1.397, -2.058], [-2.396, -3.347, 1.186], [0.854, 3.931, 5.082]], "species": ["Sb", "Sb", "Al", "Cd"], "fractional_positions": [[0.813, 0.813, 0.626], [0.187, 0.187, 0.374], [0.500, 0.000, 0.000], [0.000, 0.500, 0.000]], "space_group": "Immm"}


Which structure wins on stability? (x) wins.


(w)
{"formula": "AlCdSb2", "functional": "meta-GGA SCAN", "state": "single point on PBEsol structure", "lattice_angstrom": [[5.079, 0.000, 0.000], [2.540, 4.399, 0.000], [2.540, 1.466, 4.147]], "species": ["Sb", "Sb", "Al", "Cd"], "fractional_positions": [[0.250, 0.250, 0.250], [0.750, 0.750, 0.750], [0.000, 0.000, 0.000], [0.500, 0.500, 0.500]], "space_group": "Fm-3m"}


(x)
{"formula": "AlCdSb2", "functional": "meta-GGA SCAN", "state": "single point on PBEsol structure", "lattice_angstrom": [[-1.974, -1.949, 1.265], [2.627, -0.752, 2.939], [-2.692, 6.462, 4.060]], "species": ["Sb", "Sb", "Al", "Cd"], "fractional_positions": [[0.242, 0.000, 0.265], [0.758, 0.000, 0.735], [0.500, 0.500, 0.500], [0.000, 0.500, 0.000]], "space_group": "P2/m"}


Which structure wins on stability? (x) wins.